[1]
Computed, not measured: an optimized crystal structure of Zr2PbSe4 at the PBE-GGA level of DFT.

Computed properties:
electronic total energy	-84.16	eV per cell
mass density	6.74	g/cm³
space group	No. 63
ΔE_f (raw)	-1.048	eV/atom

Cell lengths 6.6326, 6.6326, 14.0553 Å; angles 90.00, 90.00, 145.81 degrees
Positions (direct):
Zr: 0.1350 0.8650 0.5603
Zr: 0.1350 0.8650 0.9397
Zr: 0.8650 0.1350 0.0603
Zr: 0.8650 0.1350 0.4397
Pb: 0.4021 0.5979 0.7500
Pb: 0.5979 0.4021 0.2500
Se: 0.0725 0.9275 0.7500
Se: 0.2233 0.7767 0.1140
Se: 0.2233 0.7767 0.3860
Se: 0.5000 0.5000 0.0000
Se: 0.5000 0.5000 0.5000
Se: 0.7767 0.2233 0.6140
Se: 0.7767 0.2233 0.8860
Se: 0.9275 0.0725 0.2500

---

[2]
Computed, not measured: an optimized crystal structure of AcTb4Y2 at the PBE-GGA level of DFT.

Computed properties:
electronic total energy	-70.19	eV per cell
mass density	7.25	g/cm³
space group	No. 1
ΔH_f (0 K)	45	kJ/mol of formula units
excess energy over the best structure of this formula in the dataset	33	meV per atom

Cell lengths 7.1787, 8.7854, 8.9364 Å; angles 114.45, 101.35, 101.83 degrees
Positions (direct):
Ac: 0.0000 0.0000 0.0000
Ac: 0.2823 0.8369 0.2823
Tb: 0.2017 0.1164 0.6880
Tb: 0.3043 0.6628 0.5657
Tb: 0.3987 0.4324 0.1430
Tb: 0.5040 0.0031 0.0109
Tb: 0.5968 0.5488 0.8529
Tb: 0.6976 0.1174 0.6899
Tb: 0.8015 0.6593 0.5511
Tb: 0.9184 0.2634 0.4199
Y: 0.0935 0.5346 0.8420
Y: 0.4242 0.2696 0.4256
Y: 0.7816 0.8420 0.2851
Y: 0.8899 0.4332 0.1442

---

[3]
Computed, not measured: an optimized crystal structure of K3Er2NpS6 at the PBE-GGA level of DFT.

Computed properties:
electronic total energy	-70.60	eV per cell
mass density	4.65	g/cm³
space group	No. 12
ΔE_f (raw)	-1.706	eV/atom

Cell lengths 7.0225, 7.0225, 7.7246 Å; angles 98.71, 98.71, 119.94 degrees
Positions (direct):
K: 0.0000 0.0000 0.0000
K: 0.3331 0.6669 0.0000
K: 0.6669 0.3331 0.0000
Er: 0.1660 0.8340 0.5000
Er: 0.8340 0.1660 0.5000
Np: 0.5000 0.5000 0.5000
S: 0.0942 0.4327 0.2991
S: 0.2284 0.2284 0.7015
S: 0.4327 0.0942 0.2991
S: 0.5673 0.9058 0.7009
S: 0.7716 0.7716 0.2985
S: 0.9058 0.5673 0.7009

---

[4]
Computed, not measured: an optimized crystal structure of Be3Br at the PBE-GGA level of DFT.

Computed properties:
electronic total energy	-9.19	eV per cell
mass density	2.95	g/cm³
space group	No. 71
ΔE_f (raw)	0.915	eV/atom
excess energy over the best structure of this formula in the dataset	725	meV per atom

Cell lengths 4.8431, 4.8431, 4.8431 Å; angles 144.44, 110.65, 80.43 degrees
Positions (direct):
Be: 0.0000 0.0000 0.0000
Be: 0.2328 0.7328 0.5000
Be: 0.7672 0.2672 0.5000
Br: 0.5000 0.5000 0.0000

---

[5]
Computed, not measured: an optimized crystal structure of BiSb2Se at the PBE-GGA level of DFT.

Computed properties:
electronic total energy	-29.85	eV per cell
mass density	6.07	g/cm³
space group	No. 122
ΔE_f (raw)	0.171	eV/atom
excess energy over the best structure of this formula in the dataset	225	meV per atom

Cell lengths 9.3892, 9.3892, 9.3892 Å; angles 143.51, 143.51, 52.56 degrees
Positions (direct):
Bi: 0.0000 0.0000 0.0000
Bi: 0.7500 0.2500 0.5000
Sb: 0.1704 0.6250 0.0454
Sb: 0.3750 0.4204 0.5454
Sb: 0.5796 0.1250 0.9546
Sb: 0.8750 0.8296 0.4546
Se: 0.2500 0.7500 0.5000
Se: 0.5000 0.5000 0.0000

---

[6]
Computed, not measured: an optimized crystal structure of Sr2ZnCd2 at the PBE-GGA level of DFT.

Computed properties:
electronic total energy	-6.72	eV per cell
mass density	4.55	g/cm³
space group	No. 139
ΔH_f (0 K)	-25	kJ/mol of formula units
excess energy over the best structure of this formula in the dataset	232	meV per atom

Cell lengths 6.1091, 6.1091, 6.1091 Å; angles 115.81, 115.81, 97.43 degrees
Positions (direct):
Sr: 0.2500 0.7500 0.5000
Sr: 0.7500 0.2500 0.5000
Zn: 0.0000 0.0000 0.0000
Cd: 0.3327 0.3327 0.0000
Cd: 0.6673 0.6673 0.0000

---

[7]
Computed, not measured: an optimized crystal structure of TiCuTeF2 at the PBE-GGA level of DFT.

Computed properties:
electronic total energy	-27.45	eV per cell
mass density	5.17	g/cm³
space group	No. 123
ΔE_f (raw)	-1.714	eV/atom

Cell lengths 3.9171, 3.9171, 5.7992 Å; angles 90.00, 90.00, 90.00 degrees
Positions (direct):
Ti: 0.0000 0.0000 0.0000
Cu: 0.5000 0.5000 0.5000
Te: 0.0000 0.0000 0.5000
F: 0.0000 0.5000 0.0000
F: 0.5000 0.0000 0.0000

---

[8]
Computed, not measured: an optimized crystal structure of CaPCl at the PBE-GGA level of DFT.

Computed properties:
electronic total energy	-11.47	eV per cell
mass density	1.98	g/cm³
space group	No. 156
ΔE_f (raw)	-0.736	eV/atom
excess energy over the best structure of this formula in the dataset	710	meV per atom

Cell lengths 3.6300, 3.6300, 7.8092 Å; angles 90.00, 90.00, 120.00 degrees
Positions (direct):
Ca: 0.0000 0.0000 0.0000
P: 0.3333 0.6667 0.7186
Cl: 0.6667 0.3333 0.2091

---

[9]
Computed, not measured: an optimized crystal structure of Ba2NaSrGa at the PBE-GGA level of DFT.

Computed properties:
electronic total energy	-10.18	eV per cell
mass density	2.77	g/cm³
space group	No. 123
ΔH_f (0 K)	-29	kJ/mol of formula units
excess energy over the best structure of this formula in the dataset	0	meV per atom

Cell lengths 6.5580, 6.5580, 6.3420 Å; angles 90.00, 90.00, 90.00 degrees
Positions (direct):
Ba: 0.0000 0.5000 0.0000
Ba: 0.5000 0.0000 0.0000
Na: 0.0000 0.0000 0.5000
Sr: 0.5000 0.5000 0.5000
Ga: 0.5000 0.5000 0.0000

---

[10]
Computed, not measured: an optimized crystal structure of IrCCl3 at the PBE-GGA level of DFT.

Computed properties:
electronic total energy	-16.32	eV per cell
mass density	4.74	g/cm³
space group	No. 221
ΔE_f (raw)	1.462	eV/atom
excess energy over the best structure of this formula in the dataset	0	meV per atom

Cell lengths 4.7737, 4.7737, 4.7737 Å; angles 90.00, 90.00, 90.00 degrees
Positions (direct):
Ir: 0.0000 0.0000 0.0000
C: 0.5000 0.5000 0.5000
Cl: 0.0000 0.0000 0.5000
Cl: 0.0000 0.5000 0.0000
Cl: 0.5000 0.0000 0.0000

---

[11]
Computed, not measured: an optimized crystal structure of Na3Pu3VSe8 at the PBE-GGA level of DFT.

Computed properties:
electronic total energy	-102.09	eV per cell
mass density	6.08	g/cm³
space group	No. 166
ΔE_f (raw)	-1.210	eV/atom

Cell lengths 8.4663, 8.4663, 8.4663 Å; angles 57.60, 57.60, 57.60 degrees
Positions (direct):
Na: 0.0000 0.5000 0.5000
Na: 0.5000 0.0000 0.5000
Na: 0.5000 0.5000 0.0000
Pu: 0.0000 0.0000 0.5000
Pu: 0.0000 0.5000 0.0000
Pu: 0.5000 0.0000 0.0000
V: 0.5000 0.5000 0.5000
Se: 0.2440 0.2440 0.2440
Se: 0.2630 0.7250 0.7250
Se: 0.2750 0.2750 0.7370
Se: 0.2750 0.7370 0.2750
Se: 0.7250 0.2630 0.7250
Se: 0.7250 0.7250 0.2630
Se: 0.7370 0.2750 0.2750
Se: 0.7560 0.7560 0.7560

---

[12]
Computed, not measured: an optimized crystal structure of Tb2SiBi at the PBE-GGA level of DFT.

Computed properties:
electronic total energy	-21.28	eV per cell
mass density	8.14	g/cm³
space group	No. 166
ΔE_f (raw)	-0.679	eV/atom

Cell lengths 7.8810, 7.8810, 7.8810 Å; angles 30.72, 30.72, 30.72 degrees
Positions (direct):
Tb: 0.2391 0.2391 0.2391
Tb: 0.7609 0.7609 0.7609
Si: 0.5000 0.5000 0.5000
Bi: 0.0000 0.0000 0.0000

---

- Look up the electronic total energy of the second one.
  -70.19 eV per cell

---

Please write out number 2 again, unchanged.
Computed, not measured: an optimized crystal structure of AcTb4Y2 at the PBE-GGA level of DFT.

Computed properties:
electronic total energy	-70.19	eV per cell
mass density	7.25	g/cm³
space group	No. 1
ΔH_f (0 K)	45	kJ/mol of formula units
excess energy over the best structure of this formula in the dataset	33	meV per atom

Cell lengths 7.1787, 8.7854, 8.9364 Å; angles 114.45, 101.35, 101.83 degrees
Positions (direct):
Ac: 0.0000 0.0000 0.0000
Ac: 0.2823 0.8369 0.2823
Tb: 0.2017 0.1164 0.6880
Tb: 0.3043 0.6628 0.5657
Tb: 0.3987 0.4324 0.1430
Tb: 0.5040 0.0031 0.0109
Tb: 0.5968 0.5488 0.8529
Tb: 0.6976 0.1174 0.6899
Tb: 0.8015 0.6593 0.5511
Tb: 0.9184 0.2634 0.4199
Y: 0.0935 0.5346 0.8420
Y: 0.4242 0.2696 0.4256
Y: 0.7816 0.8420 0.2851
Y: 0.8899 0.4332 0.1442

---

- Number 12 is which compound?
  Tb2SiBi

---

Copy entry 2 word for word.
Computed, not measured: an optimized crystal structure of AcTb4Y2 at the PBE-GGA level of DFT.

Computed properties:
electronic total energy	-70.19	eV per cell
mass density	7.25	g/cm³
space group	No. 1
ΔH_f (0 K)	45	kJ/mol of formula units
excess energy over the best structure of this formula in the dataset	33	meV per atom

Cell lengths 7.1787, 8.7854, 8.9364 Å; angles 114.45, 101.35, 101.83 degrees
Positions (direct):
Ac: 0.0000 0.0000 0.0000
Ac: 0.2823 0.8369 0.2823
Tb: 0.2017 0.1164 0.6880
Tb: 0.3043 0.6628 0.5657
Tb: 0.3987 0.4324 0.1430
Tb: 0.5040 0.0031 0.0109
Tb: 0.5968 0.5488 0.8529
Tb: 0.6976 0.1174 0.6899
Tb: 0.8015 0.6593 0.5511
Tb: 0.9184 0.2634 0.4199
Y: 0.0935 0.5346 0.8420
Y: 0.4242 0.2696 0.4256
Y: 0.7816 0.8420 0.2851
Y: 0.8899 0.4332 0.1442